DFT (GGA+U) results for a relaxed TiFe3P6O24 crystal.

Cell lengths 9.020, 9.020, 9.020 Å; angles 57.92, 57.92, 57.92 degrees
Positions (direct):
O 0.361 0.003 0.219
Fe 0.357 0.357 0.357
O 0.505 0.138 0.272
O 0.289 0.069 0.925
O 0.002 0.780 0.634
Fe 0.644 0.644 0.644
O 0.202 0.577 0.440
O 0.545 0.798 0.433
O 0.925 0.289 0.069
O 0.737 0.490 0.858
P 0.966 0.252 0.532
O 0.858 0.737 0.490
O 0.138 0.272 0.505
O 0.780 0.634 0.002
O 0.069 0.925 0.289
P 0.752 0.465 0.032
O 0.219 0.361 0.003
O 0.798 0.433 0.545
O 0.003 0.219 0.361
O 0.634 0.002 0.780
O 0.086 0.709 0.927
Ti 0.143 0.143 0.143
Fe 0.857 0.857 0.857
P 0.532 0.966 0.252
O 0.927 0.086 0.709
O 0.490 0.858 0.737
O 0.433 0.545 0.798
P 0.465 0.032 0.752
O 0.440 0.202 0.577
P 0.252 0.532 0.966
O 0.272 0.505 0.138
O 0.709 0.927 0.086
P 0.032 0.752 0.465
O 0.577 0.440 0.202

Results
As for the total DFT energy (no corrections): -7.05 eV per atom.